[1]
Li2HfTe3: relaxed, PBE-GGA.

The size of the total moment comes out at 0.0000 μB/atom. As for the energy relative to the elements, uncorrected: -0.872 eV/atom.

The structure belongs to space group Pmmn (No. 59, origin choice 2); the cell edges are 4.084, 12.853 and 5.913 Å and the angles 90.00°, 90.00° and 90.00°. Symmetry generates all atoms from Li at (0.250, 0.091, 0.221), Hf at (0.250, 0.750, 0.198), Te at (0.250, 0.092, 0.736) and Te at (0.250, 0.750, 0.733).

[2]
ZrIrRu2: relaxed, PBE-GGA.

The density of states at the Fermi level comes out at 4.628 states/eV/f.u. For the calculated formation energy, the calculation gives -0.2460 eV per atom. The size of the total moment comes out at 0.0000 μB/atom. The energy above the most stable polymorph in this dataset comes out at 102 meV/atom.

The structure belongs to space group I4/mmm (No. 139); the cell edges are 3.975, 3.975 and 7.990 Å and the angles 90.00°, 90.00° and 90.00°. Symmetry generates all atoms from Zr at (0.000, 0.000, 0.000), Ir at (0.000, 0.000, 0.500) and Ru at (0.000, 0.500, 0.250).

[3]
MnOsCl2: relaxed, PBE-GGA.

The density of states at the Fermi level comes out at 4.629 states/eV/f.u. The size of the total moment comes out at 1.0967 μB/atom. As for the energy relative to the elements, uncorrected: 0.675 eV/atom. The energy above the most stable polymorph in this dataset comes out at 706 meV/atom.

The structure belongs to space group Pmmm (No. 47); the cell edges are 2.890, 4.145 and 5.683 Å and the angles 90.00°, 90.00° and 90.00°. Symmetry generates all atoms from Mn at (0.000, 0.000, 0.000), Os at (0.500, 0.000, 0.500), Cl at (0.000, 0.500, 0.500) and Cl at (0.500, 0.500, 0.000).

[4]
Nd6Os2RuCl3: relaxed, PBE-GGA.

The density of states at the Fermi level comes out at 5.517 states/eV/f.u. The size of the total moment comes out at 0.0000 μB/atom. As for the energy relative to the elements, uncorrected: -0.785 eV/atom.

The structure belongs to space group C2/m (No. 12); the cell edges are 7.023, 11.863 and 8.137 Å and the angles 90.00°, 106.18° and 90.00°. Symmetry generates all atoms from Nd at (0.229, 0.173, 0.188), Nd at (0.236, 0.000, 0.754), Os at (0.000, 0.370, 0.000), Ru at (0.000, 0.000, 0.000), Cl at (0.000, 0.180, 0.500) and Cl at (0.000, 0.500, 0.500).

[5]
Sr2YTe3: relaxed, PBE-GGA.

The density of states at the Fermi level comes out at 1.646 states/eV/f.u. The size of the total moment comes out at 0.0000 μB/atom. As for the energy relative to the elements, uncorrected: -1.573 eV/atom.

The structure belongs to space group C2/m (No. 12); the cell edges are 7.937, 13.743 and 8.005 Å and the angles 90.00°, 109.31° and 90.00°. Symmetry generates all atoms from Sr at (0.000, 0.000, 0.000), Sr at (0.000, 0.162, 0.500), Sr at (0.000, 0.500, 0.500), Y at (0.000, 0.333, 0.000), Te at (0.233, 0.500, 0.233) and Te at (0.248, 0.327, 0.763).

[6]
HoErTm4: relaxed, PBE-GGA.

The density of states at the Fermi level comes out at 10.653 states/eV/f.u. For the calculated formation energy, the calculation gives 0.2704 eV per atom. The size of the total moment comes out at 0.0824 μB/atom. The energy above the most stable polymorph in this dataset comes out at 190 meV/atom.

The structure belongs to space group F-43m (No. 216); the cell edges are 9.139, 9.139 and 9.139 Å and the angles 90.00°, 90.00° and 90.00°. Symmetry generates all atoms from Ho at (0.000, 0.000, 0.000), Er at (0.250, 0.250, 0.250) and Tm at (0.125, 0.125, 0.625).

[7]
MnAl: relaxed, PBE-GGA.

The density of states at the Fermi level comes out at 1.070 states/eV/f.u. For the calculated formation energy, the calculation gives -0.1883 eV per atom. The size of the total moment comes out at 0.0000 μB/atom.

The structure belongs to space group P4/nmm (No. 129, origin choice 2); the cell edges are 2.909, 2.909 and 5.864 Å and the angles 90.00°, 90.00° and 90.00°. Symmetry generates all atoms from Mn at (0.250, 0.250, 0.118) and Al at (0.250, 0.250, 0.652).

[8]
AcTmGe2Pd2: relaxed, PBE-GGA.

The density of states at the Fermi level comes out at 4.037 states/eV/f.u. For the calculated formation energy, the calculation gives -0.9330 eV per atom. The size of the total moment comes out at 0.0000 μB/atom.

The structure belongs to space group P-3m1 (No. 164); the cell edges are 4.4976, 4.4976 and 7.5101 Å and the angles 90.00°, 90.00° and 120.00°. Symmetry generates all atoms from Ac at (0.0000, 0.0000, 0.0000), Tm at (0.0000, 0.0000, 0.5000), Ge at (0.3333, 0.6667, 0.2865) and Pd at (0.3333, 0.6667, 0.6885).

[9]
BaNaSnHg: relaxed, PBE-GGA.

The density of states at the Fermi level comes out at 3.502 states/eV/f.u. For the calculated formation energy, the calculation gives -0.3822 eV per atom. The size of the total moment comes out at 0.0000 μB/atom.

The structure belongs to space group F-43m (No. 216); the cell edges are 8.056, 8.056 and 8.056 Å and the angles 90.00°, 90.00° and 90.00°. Symmetry generates all atoms from Ba at (0.000, 0.000, 0.000), Na at (0.000, 0.000, 0.500), Sn at (0.250, 0.250, 0.250) and Hg at (0.250, 0.250, 0.750).

[10]
Ca12Sb6N: relaxed, PBE-GGA.

The density of states at the Fermi level comes out at 8.463 states/eV/f.u. The size of the total moment comes out at 0.1413 μB/atom. As for the energy relative to the elements, uncorrected: -0.836 eV/atom.

The structure belongs to space group R-3 (No. 148, hexagonal axes); the cell edges are 13.2381, 13.2381 and 12.5876 Å and the angles 90.00°, 90.00° and 120.00°. Symmetry generates all atoms from Ca at (0.0384, 0.8242, 0.3993), Ca at (0.0504, 0.8695, 0.8902), Sb at (0.0555, 0.6097, 0.3192) and N at (0.0000, 0.0000, 0.0000).

[11]
CeUTc: relaxed, PBE-GGA.

The density of states at the Fermi level comes out at 6.262 states/eV/f.u. For the calculated formation energy, the calculation gives -0.0658 eV per atom. The size of the total moment comes out at 0.0003 μB/atom. The energy above the most stable polymorph in this dataset comes out at 0 meV/atom.

The structure belongs to space group P2_1/m (No. 11); the cell edges are 3.231, 4.528 and 8.308 Å and the angles 90.00°, 92.04° and 90.00°. Symmetry generates all atoms from Ce at (0.170, 0.250, 0.408), U at (0.143, 0.750, 0.922) and Tc at (0.476, 0.250, 0.778).

[12]
TmCd3F8: relaxed, PBE-GGA.

The density of states at the Fermi level comes out at 0.826 states/eV/f.u. The size of the total moment comes out at 0.0000 μB/atom. As for the energy relative to the elements, uncorrected: -2.683 eV/atom.

The structure belongs to space group Pm-3m (No. 221); the cell edges are 5.552, 5.552 and 5.552 Å and the angles 90.00°, 90.00° and 90.00°. Symmetry generates all atoms from Tm at (0.000, 0.000, 0.000), Cd at (0.000, 0.500, 0.500) and F at (0.238, 0.238, 0.238).